## one
Computed, not measured: a relaxed structure of FeOs2 at the PBEsol level of DFT.

Structure (extended XYZ):
```
3
Lattice="2.664 0.000 0.000 -1.332 2.307 0.000 0.000 0.000 6.354" Properties=species:S:1:pos:R:3 pbc="T T T"
Os 0.000 1.538 4.293
Os 1.332 0.769 2.061
Fe 0.000 0.000 0.000
```

=====

## two
Computed, not measured: a relaxed structure of FeOs2 at the PBEsol level of DFT.

Structure (extended XYZ):
```
3
Lattice="-0.530 1.581 1.959 -3.572 -1.993 0.641 1.912 -2.588 2.606" Properties=species:S:1:pos:R:3 pbc="T T T"
Os 0.691 -0.503 2.282
Os -2.051 -0.206 1.300
Fe 0.000 0.000 0.000
```

=====

one takes first place; second place is 815 meV/atom up.

=====

## one
Computed, not measured: a relaxed structure of FeReOs at the PBEsol level of DFT.

Structure (extended XYZ):
```
3
Lattice="2.681 0.000 0.000 -1.341 2.322 0.000 0.000 0.000 6.409" Properties=species:S:1:pos:R:3 pbc="T T T"
Os 0.000 1.548 4.320
Re 1.341 0.774 2.100
Fe 0.000 0.000 6.398
```

=====

## two
Computed, not measured: a relaxed structure of FeReOs at the PBEsol level of DFT.

Structure (extended XYZ):
```
3
Lattice="-1.296 0.674 -2.190 2.360 -1.092 -0.409 -3.291 -5.686 1.118" Properties=species:S:1:pos:R:3 pbc="T T T"
Re -1.860 -3.975 -0.123
Fe -2.223 -6.097 -1.481
Os -0.369 -2.135 -1.359
```

=====

one takes first place; second place is 258 meV/atom up.

=====

## one
Computed, not measured: a relaxed structure of ScFeOs2 at the PBEsol level of DFT.

Structure (extended XYZ):
```
4
Lattice="2.744 0.000 0.000 0.000 4.347 -0.225 -1.372 -1.731 4.896" Properties=species:S:1:pos:R:3 pbc="T T T"
Sc 0.000 2.174 -0.112
Os 0.000 0.197 2.057
Os 1.372 2.420 2.614
Fe 1.372 0.000 0.000
```

=====

## two
Computed, not measured: a relaxed structure of ScFeOs2 at the PBEsol level of DFT.

Structure (extended XYZ):
```
4
Lattice="-2.081 2.893 -2.459 -4.247 0.644 0.541 -1.424 3.698 1.745" Properties=species:S:1:pos:R:3 pbc="T T T"
Os 0.000 0.000 0.000
Os -5.814 5.427 -0.130
Fe -3.876 3.618 -0.087
Sc -1.938 1.809 -0.043
```

=====

one takes first place; second place is 42 meV/atom up.

=====

## one
Computed, not measured: a relaxed structure of ScFeOs2 at the PBEsol level of DFT.

Structure (extended XYZ):
```
4
Lattice="-0.234 2.785 1.351 -2.619 1.294 -3.122 -3.364 -1.375 2.252" Properties=species:S:1:pos:R:3 pbc="T T T"
Sc -3.108 1.353 0.241
Os -1.682 -0.687 1.126
Os -1.309 0.647 -1.561
Fe -0.117 1.393 0.676
```

=====

## two
Computed, not measured: a relaxed structure of ScFeOs2 at the PBEsol level of DFT.

Structure (extended XYZ):
```
4
Lattice="-1.455 -2.339 -0.118 3.373 -2.213 2.286 -2.761 3.199 2.822" Properties=species:S:1:pos:R:3 pbc="T T T"
Os -3.879 0.646 2.803
Os -1.775 -0.604 1.646
Sc 1.133 -2.396 1.323
Fe 0.422 -0.414 3.006
```

=====

one takes first place; second place is 23 meV/atom up.

=====

## one
Computed, not measured: a relaxed structure of SrFe2Os at the PBEsol level of DFT.

Structure (extended XYZ):
```
4
Lattice="3.129 0.000 0.000 0.000 3.129 0.000 0.000 0.000 7.009" Properties=species:S:1:pos:R:3 pbc="T T T"
Os 1.565 1.565 0.000
Sr 1.565 1.565 3.504
Fe 0.000 0.000 5.837
Fe 0.000 0.000 1.172
```

=====

## two
Computed, not measured: a relaxed structure of SrFe2Os at the PBEsol level of DFT.

Structure (extended XYZ):
```
4
Lattice="2.731 0.000 0.000 0.000 4.816 0.000 -1.365 -2.408 4.844" Properties=species:S:1:pos:R:3 pbc="T T T"
Sr 0.000 2.408 2.447
Os 0.000 0.000 4.501
Fe 0.000 0.000 0.363
Fe 1.365 0.000 2.379
```

=====

one takes first place; second place is 221 meV/atom up.

=====

## one
Computed, not measured: a relaxed structure of SrFe2Os at the PBEsol level of DFT.

Structure (extended XYZ):
```
4
Lattice="-0.810 0.220 2.831 1.917 -2.129 0.714 5.281 5.127 1.114" Properties=species:S:1:pos:R:3 pbc="T T T"
Fe 0.424 0.412 0.089
Fe 1.829 0.284 2.041
Sr 4.528 2.904 2.610
Os 2.247 2.181 0.474
```

=====

## two
Computed, not measured: a relaxed structure of SrFe2Os at the PBEsol level of DFT.

Structure (extended XYZ):
```
4
Lattice="2.760 0.000 0.000 0.000 4.712 0.000 0.000 0.000 4.712" Properties=species:S:1:pos:R:3 pbc="T T T"
Sr 1.380 2.356 2.356
Os 1.380 0.000 0.000
Fe 0.000 0.000 2.356
Fe 0.000 2.356 0.000
```

=====

one takes first place; second place is 308 meV/atom up.